{"formula": "CsNiF2", "functional": "GGA+U", "state": "optimized geometry", "e_tot_ev_per_atom": -3.503, "lattice": [[-2.662, 2.662, 6.052], [2.662, -2.662, 6.052], [2.662, 2.662, -6.052]], "species": ["Cs", "Cs", "Ni", "Ni", "F", "F", "F", "F"], "fractional_positions": [[0.000, 0.000, 0.000], [0.750, 0.250, 0.500], [0.250, 0.750, 0.500], [0.500, 0.500, 0.000], [0.264, 0.625, 0.139], [0.375, 0.514, 0.639], [0.486, 0.125, 0.861], [0.875, 0.736, 0.361]]}